Below is crystalline PrTaMoO6 at its relaxed geometry, with properties calculated at the GGA+U level.

a b c (Å): 4.991 4.991 9.932
angles (deg): 90.00 90.00 90.00
Sites, in units of the cell vectors:
Pr  0.000  0.000  0.000
Pr  0.500  0.500  0.500
Ta  0.000  0.000  0.337
Ta  0.500  0.500  0.837
Mo  0.000  0.000  0.672
Mo  0.500  0.500  0.172
O  0.172  0.172  0.499
O  0.209  0.209  0.195
O  0.219  0.219  0.816
O  0.281  0.719  0.316
O  0.291  0.709  0.695
O  0.328  0.672  0.999
O  0.672  0.328  0.999
O  0.709  0.291  0.695
O  0.719  0.281  0.316
O  0.781  0.781  0.816
O  0.791  0.791  0.195
O  0.828  0.828  0.499

Values from the calculation:
* volume: 13.75 Å³/atom
* symmetry: P4_2nm, No. 102
* calculated total energy: -8.521 eV/atom
* total magnetization: 4.00 Bohr magnetons per cell
* theoretical density: 6.90 g/cm³